# Tm3Mg3AgIr2 PBE-GGA optimized geometry
data_Tm3Mg3AgIr2
_chemical_formula_sum 'Tm3 Mg3 Ag1 Ir2'
_symmetry_space_group_name_H-M 'P -6 2 m'
_symmetry_Int_Tables_number 189
_symmetry_space_group_name_Hall 'P -6 -2'
_cell_length_a 7.3617
_cell_length_b 7.3617
_cell_length_c 3.9868
_cell_angle_alpha 90.00
_cell_angle_beta 90.00
_cell_angle_gamma 120.00
loop_
_atom_site_label
_atom_site_fract_x
_atom_site_fract_y
_atom_site_fract_z
_atom_site_occupancy
Tm1 0.0000 0.4211 0.0000 1
Mg1 0.0000 0.7445 0.5000 1
Ag1 0.0000 0.0000 0.0000 1
Ir1 0.3333 0.6667 0.5000 1
# Electronic total energy ... -4.85 eV/atom
# Volume ... 20.791 Å³/atom

# PrBeGa PBE-GGA optimized geometry
data_PrBeGa
_chemical_formula_sum 'Pr4 Be4 Ga4'
_symmetry_space_group_name_H-M 'F -4 3 m'
_symmetry_Int_Tables_number 216
_symmetry_space_group_name_Hall 'F -4 2 3'
_cell_length_a 6.338
_cell_length_b 6.338
_cell_length_c 6.338
_cell_angle_alpha 90.00
_cell_angle_beta 90.00
_cell_angle_gamma 90.00
loop_
_atom_site_label
_atom_site_fract_x
_atom_site_fract_y
_atom_site_fract_z
_atom_site_occupancy
Pr1 0.000 0.000 0.000 1
Be1 0.250 0.250 0.750 1
Ga1 0.000 0.000 0.500 1
# Electronic total energy ... -4.07 eV/atom
# Energy above the lowest structure with this stoichiometry ... 0.000 eV/f.u.
# Volume ... 21.221 Å³/atom

# HfCuSb2 PBE-GGA optimized geometry
data_HfCuSb2
_chemical_formula_sum 'Hf4 Cu4 Sb8'
_symmetry_space_group_name_H-M 'F -4 3 m'
_symmetry_Int_Tables_number 216
_symmetry_space_group_name_Hall 'F -4 2 3'
_cell_length_a 7.037
_cell_length_b 7.037
_cell_length_c 7.037
_cell_angle_alpha 90.00
_cell_angle_beta 90.00
_cell_angle_gamma 90.00
loop_
_atom_site_label
_atom_site_fract_x
_atom_site_fract_y
_atom_site_fract_z
_atom_site_occupancy
Hf1 0.000 0.000 0.000 1
Cu1 0.250 0.250 0.250 1
Sb1 0.000 0.000 0.500 1
Sb2 0.250 0.250 0.750 1
# Electronic total energy ... -5.20 eV/atom
# Volume ... 21.782 Å³/atom